(1)
This record from the Alexandria database describes Pm9Pr4Cd11 after structural relaxation. The functional is GGA-PBE.

Cell lengths 16.2091, 23.3077, 3.6460 Å; angles 90.00, 90.00, 90.00 degrees
Space group Cmmm (No. 65)
Unique sites:
Pm1 0.0000 0.0000 0.0000 [2 per cell]
Pm2 0.1112 0.4049 0.0000 [8 per cell]
Pm3 0.1157 0.2296 0.0000 [8 per cell]
Pr1 0.1660 0.0844 0.0000 [8 per cell]
Cd1 0.0000 0.1299 0.5000 [4 per cell]
Cd2 0.0000 0.3163 0.5000 [4 per cell]
Cd3 0.0000 0.5000 0.5000 [2 per cell]
Cd4 0.2092 0.5000 0.5000 [4 per cell]
Cd5 0.2277 0.3179 0.5000 [8 per cell]

Output
The calculation puts the final energy at -0.239 Ry per atom. The value obtained for the density of states at the Fermi level is 1.19 states/eV per atom. Its formation enthalpy at 0 K is -251 meV per atom.

(2)
This record from the Alexandria database describes TaFe2As after structural relaxation. The functional is GGA-PBE.

Cell lengths 2.8549, 2.8549, 6.4727 Å; angles 90.00, 90.00, 90.00 degrees
Space group P4/mmm (No. 123)
Unique sites:
Ta1 0.0000 0.0000 0.0000 [1 per cell]
Fe1 0.5000 0.5000 0.2865 [2 per cell]
As1 0.0000 0.0000 0.5000 [1 per cell]

Output
The calculation puts the final energy at -0.615 Ry per atom. The value obtained for the density of states at the Fermi level is 0.77 states/eV per atom. Its formation enthalpy at 0 K is -8 meV per atom.

(3)
This record from the Alexandria database describes RbCuBiTe2 after structural relaxation. The functional is GGA-PBE.

Cell lengths 8.1883, 5.6771, 8.4730 Å; angles 90.00, 97.85, 90.00 degrees
Space group P2/c (No. 13)
Unique sites:
Rb1 0.0000 0.2173 0.2500 [2 per cell]
Cu1 0.5000 0.0000 0.0000 [2 per cell]
Bi1 0.5000 0.3482 0.2500 [2 per cell]
Te1 0.2744 0.2819 0.9198 [4 per cell]

Output
The formation energy (no corrections) is -0.300 eV per atom. The calculation puts the final energy at -0.246 Ry per atom. The value obtained for the density of states at the Fermi level is 0.49 states/eV per atom.

(4)
This record from the Alexandria database describes Y2MnP2 after structural relaxation. The functional is GGA-PBE.

Cell lengths 7.2236, 7.2236, 3.8503 Å; angles 90.00, 90.00, 90.00 degrees
Space group P4/mbm (No. 127)
Unique sites:
Y1 0.1580 0.3420 0.0000 [4 per cell]
Mn1 0.0000 0.0000 0.5000 [2 per cell]
P1 0.1548 0.6548 0.5000 [4 per cell]

Output
The calculation puts the final energy at -0.554 Ry per atom. The value obtained for the density of states at the Fermi level is 0.64 states/eV per atom. Its formation enthalpy at 0 K is -948 meV per atom.

(5)
This record from the Alexandria database describes KCaBr2 after structural relaxation. The functional is GGA-PBE.

Cell lengths 5.8117, 5.8117, 3.7435 Å; angles 90.00, 90.00, 90.00 degrees
Space group P4/mmm (No. 123)
Unique sites:
K1 0.0000 0.0000 0.0000 [1 per cell]
Ca1 0.5000 0.5000 0.0000 [1 per cell]
Br1 0.0000 0.5000 0.5000 [2 per cell]

Output
The formation energy (no corrections) is -1.294 eV per atom. The calculation puts the final energy at -0.214 Ry per atom. The value obtained for the density of states at the Fermi level is 0.32 states/eV per atom.

(6)
This record from the Alexandria database describes BiRhSeN2 after structural relaxation. The functional is GGA-PBE.

Cell lengths 4.0309, 4.0309, 5.1308 Å; angles 90.00, 90.00, 90.00 degrees
Space group P4/mmm (No. 123)
Unique sites:
Bi1 0.0000 0.0000 0.0000 [1 per cell]
Rh1 0.5000 0.5000 0.5000 [1 per cell]
Se1 0.5000 0.5000 0.0000 [1 per cell]
N1 0.0000 0.5000 0.5000 [2 per cell]

Output
The formation energy (no corrections) is 1.006 eV per atom. The calculation puts the final energy at -0.387 Ry per atom. The value obtained for the density of states at the Fermi level is 0.85 states/eV per atom.

(7)
This record from the Alexandria database describes SmEuGeAu after structural relaxation. The functional is GGA-PBE.

Cell lengths 7.3991, 7.3991, 7.3991 Å; angles 90.00, 90.00, 90.00 degrees
Space group F-43m (No. 216)
Unique sites:
Sm1 0.0000 0.0000 0.0000 [4 per cell]
Eu1 0.0000 0.0000 0.5000 [4 per cell]
Ge1 0.2500 0.2500 0.7500 [4 per cell]
Au1 0.2500 0.2500 0.2500 [4 per cell]

Output
The calculation puts the final energy at -0.475 Ry per atom. The value obtained for the density of states at the Fermi level is 1.90 states/eV per atom. Its formation enthalpy at 0 K is -741 meV per atom.

(8)
This record from the Alexandria database describes ReSiAu2 after structural relaxation. The functional is GGA-PBE.

Cell lengths 5.3897, 8.6897, 2.7846 Å; angles 90.00, 90.00, 90.00 degrees
Space group Cmmm (No. 65)
Unique sites:
Re1 0.0000 0.0000 0.0000 [2 per cell]
Si1 0.0000 0.5000 0.0000 [2 per cell]
Au1 0.2500 0.2500 0.5000 [4 per cell]

Output
The formation energy (no corrections) is 0.441 eV per atom. The calculation puts the final energy at -0.416 Ry per atom. The value obtained for the density of states at the Fermi level is 0.43 states/eV per atom.

Q: What is the formula in the sixth record?
A: BiRhSeN2